Record 1
## HfTc3Ni (GGA-PBEsol)

Data for a relaxed HfTc3Ni crystal.

## Properties
energy relative to the elements = 2.2976 eV/atom
energy = -7.7943 eV/atom
M_tot = 0.0 μB per formula unit
D(E_F) = 4.77 states/eV/cell
offset from the most stable computed form = 1236.6 meV per atom

Cell and atoms, written as POSCAR:
```
HfTc3Ni
1.0
4.6020 0.0000 0.0000
0.0000 4.6020 0.0000
0.0000 0.0000 4.6020
Tc Hf Ni
3 1 1
direct
0.0000 0.0000 0.5000 Tc
0.5000 0.0000 0.0000 Tc
0.0000 0.5000 0.0000 Tc
0.0000 0.0000 0.0000 Hf
0.5000 0.5000 0.5000 Ni
```

=====

Record 2
## Zr2CdAg (GGA-PBEsol)

Data for a relaxed Zr2CdAg crystal.

## Properties
energy relative to the elements = -0.1014 eV/atom
energy = -5.7733 eV/atom
M_tot = 0.0 μB per formula unit
D(E_F) = 3.26 states/eV/cell

Cell and atoms, written as POSCAR:
```
Zr2CdAg
1.0
-2.0793 1.2137 -3.4888
3.4219 -0.8751 -2.3438
-2.1041 -4.2536 2.3495
Ag Cd Zr
1 1 2
direct
0.0000 0.0000 0.0000 Ag
0.5000 0.5000 0.0000 Cd
0.2500 0.7500 0.5000 Zr
0.7500 0.2500 0.5000 Zr
```

=====

Record 3
## Ir2OsRu (GGA-PBEsol)

Data for a relaxed Ir2OsRu crystal.

## Properties
energy relative to the elements = 0.0248 eV/atom
energy = -10.4840 eV/atom
M_tot = 0.0 μB per formula unit
D(E_F) = 3.47 states/eV/cell
offset from the most stable computed form = 20.9 meV per atom

Cell and atoms, written as POSCAR:
```
Ir2OsRu
1.0
2.6959 0.0000 0.0000
1.3480 2.3347 0.0000
1.3480 0.7782 8.8055
Ir Os Ru
2 1 1
direct
0.0013 0.0013 0.9961 Ir
0.2490 0.2490 0.2529 Ir
0.4989 0.4989 0.5032 Os
0.7507 0.7507 0.7478 Ru
```